{
  "formula": "PrH4NCl4",
  "functional": "PBE",
  "state": "relaxed",
  "cell": [[-3.607, 3.607, 6.792], [3.607, -3.607, 6.792], [3.607, 3.607, -6.792]],
  "species": ["Cl", "Cl", "Cl", "Cl", "Cl", "Cl", "Cl", "Cl", "N", "N", "H", "H", "H", "H", "H", "H", "H", "H", "Pr", "Pr"],
  "fractional_positions": [[0.652, 0.615, 0.524], [0.098, 0.635, 0.976], [0.385, 0.909, 0.037], [0.878, 0.902, 0.537], [0.091, 0.128, 0.476], [0.872, 0.348, 0.963], [0.659, 0.122, 0.024], [0.365, 0.341, 0.463], [0.500, 0.500, 0.000], [0.250, 0.750, 0.500], [0.624, 0.630, 0.168], [0.463, 0.457, 0.832], [0.370, 0.537, 0.994], [0.380, 0.713, 0.506], [0.207, 0.874, 0.494], [0.543, 0.376, 0.006], [0.126, 0.620, 0.332], [0.287, 0.793, 0.668], [0.000, 0.000, 0.000], [0.750, 0.250, 0.500]],
  "density_g_cm3": 2.8,
  "dft_energy_ha_per_atom": -0.172,
  "crystal_system": "tetragonal"
}